No. 1
The following is a PBE calculation of TlAu2I after structural relaxation, from the Alexandria database.

a b c (Å): 5.2344 5.2344 5.2344
angles (deg): 60.00 60.00 60.00
Fractional coordinates of all 4 atoms:
I 0.0000 0.0000 0.0000
Tl 0.5000 0.5000 0.5000
Au 0.2500 0.2500 0.2500
Au 0.7500 0.7500 0.7500

Values from the calculation:
Magnetic moment in μB per cell: 0.000
Distance to the lowest polymorph of the same formula in eV/atom: 0.114
Formation energy without anion corrections in eV per atom: 0.285

***

No. 2
The following is a PBE calculation of TlAuI6 after structural relaxation, from the Alexandria database.

a b c (Å): 4.8595 9.6351 9.0679
angles (deg): 101.70 74.41 75.31
Fractional coordinates of all 8 atoms:
Tl 0.5000 0.5000 0.5000
Au 0.0000 0.0000 0.0000
I 0.1352 0.0202 0.7108
I 0.2353 0.3257 0.2053
I 0.9434 0.3555 0.7579
I 0.7647 0.6743 0.7947
I 0.8648 0.9798 0.2892
I 0.0566 0.6445 0.2421

Values from the calculation:
Magnetic moment in μB per cell: 0.000
Distance to the lowest polymorph of the same formula in eV/atom: 0.000
Formation energy without anion corrections in eV per atom: -0.172

***

No. 3
The following is a PBE calculation of TlAuI6 after structural relaxation, from the Alexandria database.

a b c (Å): 6.8923 8.2525 7.9978
angles (deg): 60.92 86.14 93.85
Fractional coordinates of all 8 atoms:
Tl 0.5000 0.5000 0.5000
Au 0.0000 0.0000 0.0000
I 0.1218 0.3618 0.8491
I 0.7550 0.0908 0.7290
I 0.3737 0.2586 0.3648
I 0.2450 0.9092 0.2710
I 0.8782 0.6382 0.1509
I 0.6263 0.7414 0.6352

Values from the calculation:
Magnetic moment in μB per cell: 0.000
Distance to the lowest polymorph of the same formula in eV/atom: 0.059
Formation energy without anion corrections in eV per atom: -0.113

***

No. 4
The following is a PBE calculation of TlAuI2 after structural relaxation, from the Alexandria database.

a b c (Å): 8.3758 8.3758 7.3330
angles (deg): 55.17 55.17 90.00
Fractional coordinates of all 8 atoms:
I 0.5631 0.1250 0.2500
I 0.1869 0.6250 0.2500
I 0.3750 0.4369 0.7500
I 0.8750 0.8131 0.7500
Tl 0.0000 0.0000 0.0000
Tl 0.7500 0.2500 0.5000
Au 0.5000 0.5000 0.0000
Au 0.2500 0.7500 0.5000

Values from the calculation:
Magnetic moment in μB per cell: 0.000
Formation energy without anion corrections in eV per atom: -0.254

***

No. 5
The following is a PBE calculation of Tl2Au2I7 after structural relaxation, from the Alexandria database.

a b c (Å): 7.3879 9.1660 15.5434
angles (deg): 90.00 90.00 89.23
Fractional coordinates of all 22 atoms:
Tl 0.6514 0.8525 0.1821
Tl 0.3486 0.6475 0.6821
Tl 0.3486 0.1475 0.8179
Tl 0.6514 0.3525 0.3179
Au 0.8155 0.6585 0.8662
Au 0.1845 0.3415 0.1338
Au 0.8155 0.1585 0.6338
Au 0.1845 0.8415 0.3662
I 0.0000 0.0000 0.5000
I 0.0000 0.5000 0.0000
I 0.3785 0.0921 0.0500
I 0.6215 0.4079 0.5500
I 0.6215 0.9079 0.9500
I 0.3785 0.5921 0.4500
I 0.0502 0.3480 0.6925
I 0.0502 0.8480 0.8075
I 0.9498 0.1520 0.1925
I 0.9498 0.6520 0.3075
I 0.5303 0.9872 0.6385
I 0.5303 0.4872 0.8615
I 0.4697 0.5128 0.1385
I 0.4697 0.0128 0.3615

Values from the calculation:
Magnetic moment in μB per cell: 0.003
Distance to the lowest polymorph of the same formula in eV/atom: 0.009
Formation energy without anion corrections in eV per atom: -0.187

***

No. 6
The following is a PBE calculation of Tl4AuI2 after structural relaxation, from the Alexandria database.

a b c (Å): 5.6165 5.6165 9.8674
angles (deg): 106.53 106.53 90.00
Fractional coordinates of all 7 atoms:
I 0.6431 0.6431 0.2862
I 0.3569 0.3569 0.7138
Tl 0.8363 0.8363 0.6727
Tl 0.1637 0.1637 0.3273
Tl 0.0000 0.5000 0.0000
Tl 0.5000 0.0000 0.0000
Au 0.0000 0.0000 0.0000

Values from the calculation:
Magnetic moment in μB per cell: 0.000
Formation energy without anion corrections in eV per atom: -0.276

***

No. 7
The following is a PBE calculation of TlAuI2 after structural relaxation, from the Alexandria database.

a b c (Å): 5.6369 5.6369 5.6369
angles (deg): 60.00 60.00 60.00
Fractional coordinates of all 4 atoms:
I 0.2500 0.2500 0.2500
I 0.7500 0.7500 0.7500
Tl 0.5000 0.5000 0.5000
Au 0.0000 0.0000 0.0000

Values from the calculation:
Magnetic moment in μB per cell: 0.000
Formation energy without anion corrections in eV per atom: 0.025

***

No. 8
The following is a PBE calculation of TlAu2I8 after structural relaxation, from the Alexandria database.

a b c (Å): 7.5619 8.1499 8.1499
angles (deg): 82.19 80.40 80.40
Fractional coordinates of all 11 atoms:
Tl 0.0000 0.0000 0.0000
Au 0.4050 0.1759 0.1759
Au 0.5950 0.8241 0.8241
I 0.7793 0.0873 0.7112
I 0.2207 0.2888 0.9127
I 0.6972 0.2560 0.2560
I 0.3028 0.7440 0.7440
I 0.7793 0.7112 0.0873
I 0.2207 0.9127 0.2888
I 0.1481 0.4090 0.4090
I 0.8519 0.5910 0.5910

Values from the calculation:
Magnetic moment in μB per cell: 0.000
Distance to the lowest polymorph of the same formula in eV/atom: 0.000
Formation energy without anion corrections in eV per atom: -0.040

***

No. 9
The following is a PBE calculation of Tl2AuI5 after structural relaxation, from the Alexandria database.

a b c (Å): 8.8974 11.2788 14.2835
angles (deg): 90.00 94.86 90.00
Fractional coordinates of all 32 atoms:
Tl 0.7505 0.8835 0.0173
Tl 0.2505 0.6165 0.0173
Tl 0.5651 0.9167 0.3468
Tl 0.0651 0.5833 0.3468
Tl 0.9349 0.4167 0.6532
Tl 0.4349 0.0833 0.6532
Tl 0.7495 0.3835 0.9827
Tl 0.2495 0.1165 0.9827
Au 0.5661 0.4248 0.2908
Au 0.0661 0.0752 0.2908
Au 0.9339 0.9248 0.7092
Au 0.4339 0.5752 0.7092
I 0.9401 0.1626 0.1261
I 0.9084 0.5924 0.1249
I 0.4401 0.3374 0.1261
I 0.4084 0.9076 0.1249
I 0.9694 0.8594 0.2312
I 0.1524 0.2913 0.3602
I 0.4694 0.6406 0.2312
I 0.7119 0.5392 0.4366
I 0.6524 0.2087 0.3602
I 0.2119 0.9608 0.4366
I 0.7881 0.0392 0.5634
I 0.3476 0.7913 0.6398
I 0.2881 0.4608 0.5634
I 0.5306 0.3594 0.7688
I 0.8476 0.7087 0.6398
I 0.0306 0.1406 0.7688
I 0.5916 0.0924 0.8751
I 0.5599 0.6626 0.8739
I 0.0916 0.4076 0.8751
I 0.0599 0.8374 0.8739

Values from the calculation:
Magnetic moment in μB per cell: 0.000
Distance to the lowest polymorph of the same formula in eV/atom: 0.008
Formation energy without anion corrections in eV per atom: -0.324

***

No. 10
The following is a PBE calculation of Tl2AuI3 after structural relaxation, from the Alexandria database.

a b c (Å): 10.1342 8.4162 8.9970
angles (deg): 89.97 90.00 127.02
Fractional coordinates of all 12 atoms:
Tl 0.3324 0.6644 0.5002
Tl 0.3320 0.6644 0.0002
Tl 0.6680 0.3356 0.9998
Tl 0.6676 0.3356 0.4998
Au 0.7802 0.0000 0.2500
Au 0.2198 0.0000 0.7500
I 0.6239 0.0000 0.7500
I 0.3761 0.0000 0.2500
I 0.0306 0.6154 0.7498
I 0.4152 0.3846 0.7502
I 0.5848 0.6154 0.2498
I 0.9694 0.3846 0.2502

Values from the calculation:
Magnetic moment in μB per cell: 0.000
Distance to the lowest polymorph of the same formula in eV/atom: 0.000
Formation energy without anion corrections in eV per atom: -0.441

***

No. 11
The following is a PBE calculation of Tl2Au2I after structural relaxation, from the Alexandria database.

a b c (Å): 9.0377 9.0377 3.4587
angles (deg): 90.00 90.00 90.00
Fractional coordinates of all 10 atoms:
I 0.0000 0.0000 0.0000
I 0.5000 0.5000 0.0000
Tl 0.3079 0.8079 0.0000
Tl 0.8079 0.6921 0.0000
Tl 0.6921 0.1921 0.0000
Tl 0.1921 0.3079 0.0000
Au 0.1073 0.6073 0.5000
Au 0.6073 0.8927 0.5000
Au 0.8927 0.3927 0.5000
Au 0.3927 0.1073 0.5000

Values from the calculation:
Magnetic moment in μB per cell: 0.000
Distance to the lowest polymorph of the same formula in eV/atom: 0.122
Formation energy without anion corrections in eV per atom: 0.072

***

No. 12
The following is a PBE calculation of Tl2AuI after structural relaxation, from the Alexandria database.

a b c (Å): 4.6538 4.6538 8.0694
angles (deg): 73.24 73.24 60.00
Fractional coordinates of all 4 atoms:
Tl 0.0688 0.0688 0.7935
Tl 0.2654 0.2654 0.2037
Au 0.6684 0.6684 0.9948
I 0.4973 0.4973 0.5080

Values from the calculation:
Magnetic moment in μB per cell: 0.000
Distance to the lowest polymorph of the same formula in eV/atom: 0.020
Formation energy without anion corrections in eV per atom: -0.223